(1)
An optimized crystal structure of CoRuRh2. Source: Alexandria via LeMat-Bulk, functional GGA-PBE.

The value obtained for the excess energy over the best structure of this formula in the dataset is 21 meV/atom. Its space group is Cm. The value obtained for the volume is 13.41 A^3/atom. As for the energy relative to the elements: 1.9 kcal/mol of atoms. Its density of states at the Fermi level is 5.3 states/eV per cell.

a b c (Å): 4.6055 4.6055 4.6195
angles (deg): 80.01 80.01 33.84
With the nearest neighbours (Å) after each atom.
Positions (direct):
Rh: 0.7518 0.7518 0.7392  3 Ru 2.63-2.66, 4 Co 2.64-2.70, 5 Rh 2.68-2.73
Rh: 0.9958 0.9958 0.0136  3 Co 2.62-2.65, 4 Ru 2.62-2.72, 5 Rh 2.68-2.73
Ru: 0.5035 0.5035 0.4987  7 Rh 2.62-2.72, 3 Co 2.63-2.70, 2 Ru 2.68
Co: 0.2489 0.2489 0.2485  7 Rh 2.62-2.70, 3 Ru 2.63-2.70, 2 Co 2.68



(2)
An optimized crystal structure of Co2RuRh. Source: Alexandria via LeMat-Bulk, functional GGA-PBE.

The value obtained for the excess energy over the best structure of this formula in the dataset is 32 meV/atom. Its space group is Cmmm. The value obtained for the volume is 12.44 A^3/atom. As for the energy relative to the elements: 3.2 kcal/mol of atoms. Its density of states at the Fermi level is 5.9 states/eV per cell.

a b c (Å): 4.4605 4.4605 2.6273
angles (deg): 90.00 90.00 107.77
With the nearest neighbours (Å) after each atom.
Positions (direct):
Co: 0.0000 0.0000 0.0000  4 Rh 2.59, 4 Ru 2.59, 4 Co 2.63
Co: 0.5000 0.5000 0.0000  4 Ru 2.59, 4 Rh 2.59, 4 Co 2.63
Ru: 0.0000 0.5000 0.5000  8 Co 2.59, 2 Ru 2.63, 2 Rh 2.63
Rh: 0.5000 0.0000 0.5000  8 Co 2.59, 2 Rh 2.63, 2 Ru 2.63



(3)
An optimized crystal structure of CoRu2Rh. Source: Alexandria via LeMat-Bulk, functional GGA-PBE.

The value obtained for the excess energy over the best structure of this formula in the dataset is 38 meV/atom. Its space group is R3m. The value obtained for the volume is 13.46 A^3/atom. As for the energy relative to the elements: 3.3 kcal/mol of atoms. Its density of states at the Fermi level is 5.6 states/eV per cell.

a b c (Å): 8.7277 8.7277 8.7277
angles (deg): 17.74 17.74 17.74
With the nearest neighbours (Å) after each atom.
Positions (direct):
Ru: 0.9985 0.9985 0.9985  9 Ru 2.64-2.69, 3 Rh 2.73
Ru: 0.2488 0.2488 0.2488  3 Co 2.62, 9 Ru 2.64-2.69
Co: 0.5002 0.5002 0.5002  3 Rh 2.60, 3 Ru 2.62, 6 Co 2.69
Rh: 0.7524 0.7524 0.7524  3 Co 2.60, 6 Rh 2.69, 3 Ru 2.73



(4)
An optimized crystal structure of CoRuRh4. Source: Alexandria via LeMat-Bulk, functional GGA-PBE.

The value obtained for the excess energy over the best structure of this formula in the dataset is 0 meV/atom. Its space group is Pmmm. The value obtained for the volume is 13.70 A^3/atom. As for the energy relative to the elements: 1.4 kcal/mol of atoms. Its density of states at the Fermi level is 10.3 states/eV per cell.

a b c (Å): 2.6950 3.7805 8.0689
angles (deg): 90.00 90.00 90.00
With the nearest neighbours (Å) after each atom.
Positions (direct):
Rh: 0.5000 0.0000 0.1605  7 Rh 2.59-2.70, 4 Co 2.66, 1 Ru 2.74
Rh: 0.0000 0.5000 0.6675  1 Co 2.68, 4 Ru 2.69, 7 Rh 2.70
Rh: 0.5000 0.0000 0.8395  7 Rh 2.59-2.70, 4 Co 2.66, 1 Ru 2.74
Rh: 0.0000 0.5000 0.3325  1 Co 2.68, 4 Ru 2.69, 7 Rh 2.70
Co: 0.0000 0.5000 0.0000  10 Rh 2.66-2.68, 2 Co 2.70
Ru: 0.5000 0.0000 0.5000  10 Rh 2.69-2.74, 2 Ru 2.70



(5)
An optimized crystal structure of CoRuRh2. Source: Alexandria via LeMat-Bulk, functional GGA-PBE.

The value obtained for the excess energy over the best structure of this formula in the dataset is 39 meV/atom. Its space group is R-3m. The value obtained for the volume is 13.52 A^3/atom. As for the energy relative to the elements: 2.4 kcal/mol of atoms. Its density of states at the Fermi level is 6.1 states/eV per cell.

a b c (Å): 8.7102 8.7102 8.7102
angles (deg): 17.83 17.83 17.83
With the nearest neighbours (Å) after each atom.
Positions (direct):
Co: 0.7500 0.7500 0.7500  6 Rh 2.61, 6 Co 2.70
Ru: 0.2500 0.2500 0.2500  6 Rh 2.69, 6 Ru 2.70
Rh: 0.0020 0.0020 0.0020  3 Co 2.61, 3 Ru 2.69, 6 Rh 2.70
Rh: 0.4980 0.4980 0.4980  3 Co 2.61, 3 Ru 2.69, 6 Rh 2.70



(6)
An optimized crystal structure of Co3Ru5Rh12. Source: Alexandria via LeMat-Bulk, functional GGA-PBE.

Its space group is Ia-3d. The value obtained for the volume is 17.47 A^3/atom. As for the energy relative to the elements: 20.1 kcal/mol of atoms. Its density of states at the Fermi level is 117.0 states/eV per cell.

a b c (Å): 12.1986 12.1986 12.1986
angles (deg): 109.47 109.47 109.47
With the nearest neighbours (Å) after each atom.
Positions (direct):
Rh: 0.8294 0.9314 0.0638  2 Ru 2.35-2.45, 1 Co 2.40, 1 Rh 2.63
Rh: 0.8979 0.8294 0.7656  2 Ru 2.35-2.45, 1 Co 2.40, 1 Rh 2.63
Rh: 0.4314 0.0638 0.3294  2 Ru 2.35-2.45, 1 Co 2.40, 1 Rh 2.63
Rh: 0.9314 0.1021 0.8677  2 Ru 2.35-2.45, 1 Co 2.40, 1 Rh 2.63
Rh: 0.3294 0.7656 0.3979  2 Ru 2.35-2.45, 1 Co 2.40, 1 Rh 2.63
Rh: 0.0638 0.4314 0.8294  2 Ru 2.35-2.45, 1 Co 2.40, 1 Rh 2.63
Rh: 0.8979 0.0686 0.6323  2 Ru 2.35-2.45, 1 Co 2.40, 1 Rh 2.63
Rh: 0.5638 0.3294 0.9314  2 Ru 2.35-2.45, 1 Co 2.40, 1 Rh 2.63
Rh: 0.8677 0.6021 0.9314  2 Ru 2.35-2.45, 1 Co 2.40, 1 Rh 2.63
Rh: 0.4362 0.6706 0.0686  2 Ru 2.35-2.45, 1 Co 2.40, 1 Rh 2.63
Rh: 0.1323 0.7344 0.5638  2 Ru 2.35-2.45, 1 Co 2.40, 1 Rh 2.63
Rh: 0.5686 0.9362 0.6706  2 Ru 2.35-2.45, 1 Co 2.40, 1 Rh 2.63
Rh: 0.1706 0.0686 0.9362  2 Ru 2.35-2.45, 1 Co 2.40, 1 Rh 2.63
Rh: 0.6021 0.7344 0.6706  2 Ru 2.35-2.45, 1 Co 2.40, 1 Rh 2.63
Rh: 0.6706 0.2344 0.6021  2 Ru 2.35-2.45, 1 Co 2.40, 1 Rh 2.63
Rh: 0.8677 0.2656 0.4362  2 Ru 2.35-2.45, 1 Co 2.40, 1 Rh 2.63
Rh: 0.3979 0.2656 0.3294  2 Ru 2.35-2.45, 1 Co 2.40, 1 Rh 2.63
Rh: 0.0686 0.8979 0.1323  2 Ru 2.35-2.45, 1 Co 2.40, 1 Rh 2.63
Rh: 0.7344 0.1323 0.0638  2 Ru 2.35-2.45, 1 Co 2.40, 1 Rh 2.63
Rh: 0.2656 0.8677 0.9362  2 Ru 2.35-2.45, 1 Co 2.40, 1 Rh 2.63
Rh: 0.2656 0.3979 0.8294  2 Ru 2.35-2.45, 1 Co 2.40, 1 Rh 2.63
Rh: 0.1021 0.1706 0.2344  2 Ru 2.35-2.45, 1 Co 2.40, 1 Rh 2.63
Rh: 0.3979 0.1323 0.5686  2 Ru 2.35-2.45, 1 Co 2.40, 1 Rh 2.63
Rh: 0.2344 0.6706 0.1021  2 Ru 2.35-2.45, 1 Co 2.40, 1 Rh 2.63
Rh: 0.1323 0.3979 0.0686  2 Ru 2.35-2.45, 1 Co 2.40, 1 Rh 2.63
Rh: 0.5686 0.6323 0.3979  2 Ru 2.35-2.45, 1 Co 2.40, 1 Rh 2.63
Rh: 0.9362 0.3677 0.2656  2 Ru 2.35-2.45, 1 Co 2.40, 1 Rh 2.63
Rh: 0.6323 0.5686 0.8979  2 Ru 2.35-2.45, 1 Co 2.40, 1 Rh 2.63
Rh: 0.5638 0.2344 0.1323  2 Ru 2.35-2.45, 1 Co 2.40, 1 Rh 2.63
Rh: 0.1021 0.9314 0.3677  2 Ru 2.35-2.45, 1 Co 2.40, 1 Rh 2.63
Rh: 0.7344 0.6021 0.1706  2 Ru 2.35-2.45, 1 Co 2.40, 1 Rh 2.63
Rh: 0.0686 0.1706 0.4362  2 Ru 2.35-2.45, 1 Co 2.40, 1 Rh 2.63
Rh: 0.3677 0.4314 0.1021  2 Ru 2.35-2.45, 1 Co 2.40, 1 Rh 2.63
Rh: 0.4362 0.7656 0.8677  2 Ru 2.35-2.45, 1 Co 2.40, 1 Rh 2.63
Rh: 0.3677 0.9362 0.7656  2 Ru 2.35-2.45, 1 Co 2.40, 1 Rh 2.63
Rh: 0.2344 0.5638 0.6323  2 Ru 2.35-2.45, 1 Co 2.40, 1 Rh 2.63
Rh: 0.8294 0.8979 0.2656  2 Ru 2.35-2.45, 1 Co 2.40, 1 Rh 2.63
Rh: 0.7656 0.4362 0.3677  2 Ru 2.35-2.45, 1 Co 2.40, 1 Rh 2.63
Rh: 0.4314 0.3677 0.6021  2 Ru 2.35-2.45, 1 Co 2.40, 1 Rh 2.63
Rh: 0.1706 0.1021 0.7344  2 Ru 2.35-2.45, 1 Co 2.40, 1 Rh 2.63
Rh: 0.3294 0.5638 0.4314  2 Ru 2.35-2.45, 1 Co 2.40, 1 Rh 2.63
Rh: 0.7656 0.3294 0.8979  2 Ru 2.35-2.45, 1 Co 2.40, 1 Rh 2.63
Rh: 0.6323 0.0638 0.2344  2 Ru 2.35-2.45, 1 Co 2.40, 1 Rh 2.63
Rh: 0.6021 0.8677 0.4314  2 Ru 2.35-2.45, 1 Co 2.40, 1 Rh 2.63
Rh: 0.6706 0.4362 0.5686  2 Ru 2.35-2.45, 1 Co 2.40, 1 Rh 2.63
Rh: 0.9362 0.5686 0.1706  2 Ru 2.35-2.45, 1 Co 2.40, 1 Rh 2.63
Rh: 0.0638 0.6323 0.7344  2 Ru 2.35-2.45, 1 Co 2.40, 1 Rh 2.63
Rh: 0.9314 0.8294 0.5638  2 Ru 2.35-2.45, 1 Co 2.40, 1 Rh 2.63
Ru: 0.7500 0.6250 0.3750  4 Rh 2.35
Ru: 0.8750 0.6250 0.7500  4 Rh 2.35
Ru: 0.3750 0.2500 0.1250  4 Rh 2.35
Ru: 0.5000 0.5000 0.5000  6 Rh 2.45
Ru: 0.5000 0.0000 0.0000  6 Rh 2.45
Ru: 0.0000 0.0000 0.5000  6 Rh 2.45
Ru: 0.1250 0.3750 0.2500  4 Rh 2.35
Ru: 0.8750 0.2500 0.6250  4 Rh 2.35
Ru: 0.0000 0.5000 0.0000  6 Rh 2.45
Ru: 0.0000 0.5000 0.5000  6 Rh 2.45
Ru: 0.6250 0.7500 0.8750  4 Rh 2.35
Ru: 0.2500 0.8750 0.1250  4 Rh 2.35
Ru: 0.3750 0.1250 0.7500  4 Rh 2.35
Ru: 0.2500 0.3750 0.6250  4 Rh 2.35
Ru: 0.5000 0.0000 0.5000  6 Rh 2.45
Ru: 0.7500 0.1250 0.8750  4 Rh 2.35
Ru: 0.1250 0.7500 0.3750  4 Rh 2.35
Ru: 0.6250 0.8750 0.2500  4 Rh 2.35
Ru: 0.5000 0.5000 0.0000  6 Rh 2.45
Ru: 0.0000 0.0000 0.0000  6 Rh 2.45
Co: 0.2500 0.6250 0.8750  4 Rh 2.40
Co: 0.2500 0.1250 0.3750  4 Rh 2.40
Co: 0.6250 0.2500 0.3750  4 Rh 2.40
Co: 0.3750 0.7500 0.6250  4 Rh 2.40
Co: 0.3750 0.6250 0.2500  4 Rh 2.40
Co: 0.8750 0.1250 0.2500  4 Rh 2.40
Co: 0.1250 0.2500 0.8750  4 Rh 2.40
Co: 0.7500 0.8750 0.6250  4 Rh 2.40
Co: 0.1250 0.8750 0.7500  4 Rh 2.40
Co: 0.8750 0.7500 0.1250  4 Rh 2.40
Co: 0.6250 0.3750 0.7500  4 Rh 2.40
Co: 0.7500 0.3750 0.1250  4 Rh 2.40



(7)
An optimized crystal structure of Co2RuRh. Source: Alexandria via LeMat-Bulk, functional GGA-PBE.

The value obtained for the excess energy over the best structure of this formula in the dataset is 21 meV/atom. Its space group is Pmmm. The value obtained for the volume is 12.43 A^3/atom. As for the energy relative to the elements: 3.0 kcal/mol of atoms. Its density of states at the Fermi level is 5.3 states/eV per cell.

a b c (Å): 2.6289 3.5983 5.2557
angles (deg): 90.00 90.00 90.00
With the nearest neighbours (Å) after each atom.
Positions (direct):
Co: 0.0000 0.0000 0.9942  4 Co 2.57-2.69, 4 Ru 2.57, 4 Rh 2.60
Co: 0.0000 0.0000 0.5058  4 Co 2.57-2.69, 4 Ru 2.57, 4 Rh 2.60
Rh: 0.5000 0.5000 0.2500  8 Co 2.60, 2 Ru 2.63, 2 Rh 2.63
Ru: 0.5000 0.5000 0.7500  8 Co 2.57, 2 Rh 2.63, 2 Ru 2.63



(8)
An optimized crystal structure of CoRuRh2. Source: Alexandria via LeMat-Bulk, functional GGA-PBE.

The value obtained for the excess energy over the best structure of this formula in the dataset is 291 meV/atom. Its space group is F-43m. The value obtained for the volume is 13.76 A^3/atom. As for the energy relative to the elements: 8.2 kcal/mol of atoms. Its density of states at the Fermi level is 4.5 states/eV per cell.

a b c (Å): 4.2696 4.2696 4.2696
angles (deg): 60.00 60.00 60.00
With the nearest neighbours (Å) after each atom.
Positions (direct):
Rh: 0.0000 0.0000 0.0000  4 Ru 2.61, 4 Rh 2.61
Rh: 0.2500 0.2500 0.2500  4 Co 2.61, 4 Rh 2.61
Co: 0.5000 0.5000 0.5000  4 Rh 2.61, 4 Ru 2.61
Ru: 0.7500 0.7500 0.7500  4 Co 2.61, 4 Rh 2.61



(9)
An optimized crystal structure of CoRuRh2. Source: Alexandria via LeMat-Bulk, functional GGA-PBE.

The value obtained for the excess energy over the best structure of this formula in the dataset is 10 meV/atom. Its space group is R3m. The value obtained for the volume is 13.44 A^3/atom. As for the energy relative to the elements: 1.7 kcal/mol of atoms. Its density of states at the Fermi level is 4.7 states/eV per cell.

a b c (Å): 2.6907 2.6885 10.5963
angles (deg): 59.50 90.00 120.03
With the nearest neighbours (Å) after each atom.
Positions (direct):
Co: 0.1232 0.2464 0.2517  3 Ru 2.57, 3 Rh 2.57-2.58, 6 Co 2.69
Rh: 0.1080 0.2161 0.0122  3 Co 2.57-2.58, 9 Rh 2.69-2.76
Rh: 0.7972 0.5943 0.7461  9 Rh 2.69-2.76, 3 Ru 2.69
Ru: 0.4716 0.9432 0.4900  3 Co 2.57, 6 Ru 2.69, 3 Rh 2.69



(10)
An optimized crystal structure of Co2RuRh. Source: Alexandria via LeMat-Bulk, functional GGA-PBE.

The value obtained for the excess energy over the best structure of this formula in the dataset is 17 meV/atom. Its space group is Amm2. The value obtained for the volume is 12.54 A^3/atom. As for the energy relative to the elements: 2.9 kcal/mol of atoms. Its density of states at the Fermi level is 5.1 states/eV per cell.

a b c (Å): 3.9726 2.6262 4.9851
angles (deg): 74.68 90.00 90.00
With the nearest neighbours (Å) after each atom.
Positions (direct):
Co: 0.5000 0.0616 0.2509  2 Co 2.33, 1 Ru 2.54, 4 Rh 2.61
Co: 0.0000 0.1902 0.9958  2 Co 2.33, 1 Rh 2.51, 4 Ru 2.60
Ru: 0.5000 0.7978 0.7799  7 Co 2.54-2.62, 2 Ru 2.63, 4 Rh 2.80
Rh: 0.0000 0.4504 0.4734  7 Co 2.51-2.65, 2 Rh 2.63, 4 Ru 2.80